Entry from Alexandria via LeMat-Bulk: BaMn3B4O12 after structural relaxation (GGA+U).

```
BaMn3B4O12
1.0
6.2167 0.0665 0.0925
-1.4333 6.0496 0.0925
-1.4333 -1.8326 5.7661
Ba Mn B O
1 3 4 12
Direct
0.0000 0.0000 0.0000
0.5509 0.4491 0.0000
0.4491 0.0000 0.5509
0.0000 0.5509 0.4491
0.9420 0.0580 0.5000
0.0580 0.5000 0.9420
0.5000 0.9420 0.0580
0.5000 0.5000 0.5000
0.5000 0.3568 0.6432
0.9114 0.5000 0.0886
0.0886 0.9114 0.5000
0.5000 0.0886 0.9114
0.4008 0.9885 0.2315
0.2315 0.4008 0.9885
0.9885 0.2315 0.4008
0.5992 0.7685 0.0115
0.0115 0.5992 0.7685
0.7685 0.0115 0.5992
0.6432 0.5000 0.3568
0.3568 0.6432 0.5000
```

Calculated values
The magnetization comes out at 11.0 μB/f.u. The space group is R32. As for the total energy: -0.5592 Ry per atom.